TmVBi2O8 PBE+U relaxed; spin magnetization = 1.406 μB/f.u.; electronic total energy = -0.4673 Ry/atom
1.0
6.436 0.000 0.000
-3.218 5.574 0.000
0.000 0.000 5.745
O Tm Bi V
8 1 2 1
direct
0.133 0.266 0.209
0.266 0.133 0.791
0.867 0.734 0.791
0.133 0.867 0.209
0.867 0.133 0.791
0.667 0.333 0.200
0.734 0.867 0.209
0.333 0.667 0.800
0.000 0.000 0.500
0.667 0.333 0.844
0.333 0.667 0.156
0.000 0.000 0.000

---

TmBi2WO8 PBE+U relaxed; spin magnetization = 0.000 μB/f.u.; electronic total energy = -0.5027 Ry/atom
1.0
5.146 -0.021 -0.003
0.011 5.138 -0.006
0.004 0.008 6.769
W O Bi Tm
1 8 2 1
direct
0.000 0.000 0.000
0.731 0.733 0.000
0.306 0.305 0.500
0.823 0.179 0.220
0.694 0.695 0.500
0.177 0.821 0.780
0.823 0.179 0.780
0.269 0.267 0.000
0.177 0.821 0.220
0.500 0.500 0.753
0.500 0.500 0.247
0.000 0.000 0.500

---

Tm2BiWO8 PBE+U relaxed; spin magnetization = 0.000 μB/f.u.; electronic total energy = -0.5458 Ry/atom
1.0
-2.243 -2.594 3.625
4.050 -2.913 0.216
2.726 4.136 4.646
O Bi Tm W
8 1 2 1
direct
0.312 0.312 0.500
0.186 0.815 0.785
0.814 0.185 0.215
0.280 0.281 0.000
0.720 0.719 0.000
0.814 0.185 0.785
0.186 0.815 0.215
0.688 0.688 0.500
0.000 0.000 0.500
0.500 0.500 0.242
0.500 0.500 0.758
0.000 0.000 0.000